First-principles (PBE-GGA) data for an optimized crystal structure of Zn2ReAg, as listed in Alexandria via LeMat-Bulk.

```
4
Lattice="-2.446 -1.109 -0.025 1.356 -0.851 -2.157 3.120 -6.988 4.718" Properties=species:S:1:pos:R:3 pbc="T T T"
Re 1.835 -6.312 2.509
Ag 1.536 -3.440 2.323
Zn 0.008 -0.017 0.011
Zn 0.211 -2.673 0.052
```

Summary:
Final energy (eV/atom): -4.1982
Symmetry: Cmm2, No. 35
M_tot (μB per cell): 0.000
Energy relative to the elements (eV per atom): 0.26